The following is a DFT calculation (PBEsol) of a geometry-optimized CaTlCl structure.

abc: 5.2123 5.2123 5.2123
angles: 60.00 60.00 60.00
Last column: nearest neighbours and their distance in Å.
Element x y z (fractional)
Ca 0.0000 0.0000 0.0000  4 Tl 3.19
Tl 0.7500 0.7500 0.7500  4 Cl 3.19, 4 Ca 3.19
Cl 0.5000 0.5000 0.5000  4 Tl 3.19

Summary:
E_tot in eV per atom: -2.6178
Raw formation energy in meV/atom: -361